Entry 1:
NpCd2BiO8 | GGA-PBE | optimized geometry

Properties
**ΔE_f (raw)**: -1471.2 meV per atom
**Electronic total energy**: -6.33 eV per atom
**SG**: P2/m
**ρ**: 7.52 g cm⁻³

a = 5.0543 Å, b = 5.0597 Å, c = 6.9035 Å
α = 90.00°, β = 90.00°, γ = 92.73°
Closest atoms and distances in Å follow each position.
Fractional coordinates of all 12 atoms:
O: 0.2783 0.2772 0.0000  1 Np 1.94
O: 0.1820 0.8172 0.7642  1 Np 2.11, 1 Bi 2.26, 1 Cd 2.33
O: 0.7070 0.7087 0.5000  1 Bi 2.04, 2 Cd 2.24
O: 0.7217 0.7228 0.0000  1 Np 1.94
O: 0.8180 0.1828 0.2358  1 Np 2.11, 1 Bi 2.26, 1 Cd 2.33
O: 0.8180 0.1828 0.7641  1 Np 2.11, 1 Bi 2.26, 1 Cd 2.33
O: 0.1820 0.8172 0.2359  1 Np 2.11, 1 Bi 2.26, 1 Cd 2.33
O: 0.2930 0.2913 0.5000  1 Bi 2.04, 2 Cd 2.24
Np: 0.0000 0.0000 0.0000  6 O 1.94-2.11
Cd: 0.5000 0.5000 0.7481  6 O 2.24-2.33
Cd: 0.5000 0.5000 0.2519  6 O 2.24-2.33
Bi: 0.0000 0.0000 0.5000  6 O 2.04-2.26

=====

Entry 2:
NpCdBi2O8 | GGA-PBE | optimized geometry

Properties
**ΔE_f (raw)**: -1616.2 meV per atom
**Electronic total energy**: -6.72 eV per atom
**SG**: Cmmm
**ρ**: 7.92 g cm⁻³

a = 5.1261 Å, b = 5.1260 Å, c = 7.1434 Å
α = 90.00°, β = 90.00°, γ = 91.17°
Closest atoms and distances in Å follow each position.
Fractional coordinates of all 12 atoms:
O: 0.6950 0.6948 0.5000  1 Cd 2.19, 2 Bi 2.23
O: 0.8158 0.1848 0.2107  1 Np 2.02
O: 0.1843 0.8153 0.2107  1 Np 2.02
O: 0.2879 0.2872 0.0000  1 Np 2.06
O: 0.1842 0.8152 0.7893  1 Np 2.02
O: 0.3050 0.3052 0.5000  1 Cd 2.19, 2 Bi 2.23
O: 0.8157 0.1847 0.7893  1 Np 2.02
O: 0.7121 0.7128 0.0000  1 Np 2.06
Bi: 0.5000 0.5000 0.2571  6 O 2.23-2.39
Bi: 0.5000 0.5000 0.7429  6 O 2.23-2.39
Cd: 0.0000 0.0000 0.5000  2 O 2.19
Np: 0.0000 0.0000 0.0000  6 O 2.02-2.06